# SrNiN2 (PBE, relaxed)
# Volume = 14.00 A^3/atom
# Density = 5.17 Mg/m³
# Crystal system = monoclinic
# Total energy = -96.04 eV for the cell shown
data_SrNiN2
_chemical_formula_sum 'Sr4 Ni4 N8'
_cell_length_a 5.805
_cell_length_b 7.445
_cell_length_c 5.599
_cell_angle_alpha 90.00
_cell_angle_beta 112.23
_cell_angle_gamma 90.00
_space_group_name_H-M_alt 'P 1 21/c 1'
_space_group_IT_number 14
_space_group_name_Hall '-P 2ybc'
loop_
_atom_site_label
_atom_site_fract_x
_atom_site_fract_y
_atom_site_fract_z
_atom_site_occupancy
Sr1 0.167 0.079 0.322 1
Ni1 0.388 0.643 0.428 1
N1 0.256 0.711 0.095 1
N2 0.270 0.092 0.904 1